An optimized crystal structure of Te3Mo. Source: the Alexandria database, functional PBE.

abc: 13.2299 13.2299 13.2299
angles: 161.45 161.45 26.35
Closest atoms and distances in Å follow each position.
Positions (direct):
1 Te 0.0000 0.5000 0.5000  4 Te 3.01
2 Te 0.1374 0.1374 0.0000  4 Mo 3.25, 4 Te 3.60
3 Te 0.2500 0.7500 0.5000  4 Mo 2.71, 4 Te 3.01
4 Te 0.5000 0.0000 0.5000  4 Te 3.01
5 Te 0.7500 0.2500 0.5000  4 Mo 2.71, 4 Te 3.01
6 Te 0.8626 0.8626 0.0000  4 Mo 3.25, 4 Te 3.60
7 Mo 0.3152 0.3152 0.0000  4 Te 2.71
8 Mo 0.6848 0.6848 0.0000  4 Te 2.71

Results
* ΔE_f (raw): 490 meV per atom
* energy: -4.574 eV/atom
* SG: I4/mmm, No. 139
* DOS(E_F): 9.56 states/eV/cell
* calculated volume: 29.27 Å³ per atom



An optimized crystal structure of AgPd2PtI. Source: the Alexandria database, functional PBE.

abc: 4.9193 4.9193 5.1151
angles: 90.00 90.00 90.00
Closest atoms and distances in Å follow each position.
Positions (direct):
1 Ag 0.0000 0.0000 0.0000  2 I 2.56
2 Pd 0.0000 0.5000 0.5000  2 I 2.46
3 Pd 0.5000 0.0000 0.5000  2 I 2.46
4 Pt 0.5000 0.5000 0.0000  4 Ag 3.48, 8 Pd 3.55
5 I 0.0000 0.0000 0.5000  4 Pd 2.46, 2 Ag 2.56

Results
* ΔE_f (raw): 1030 meV per atom
* energy: -3.136 eV/atom
* SG: P4/mmm, No. 123
* DOS(E_F): 1.42 states/eV/cell
* calculated volume: 24.76 Å³ per atom